# 1
Material: DyPa2RhN4
Method: DFT, GGA-PBE
State: optimized geometry

Cell: 3.5060 11.4489 11.7252 Å, 90.00 90.00 90.00°
With the nearest neighbours (Å) after each atom.
Space group Cmcm (No. 63)
Symmetry-distinct sites (fractional):
Dy: 0.0000 0.1068 0.2500 (multiplicity 4)  2 N 2.33
Pa: 0.0000 0.3697 0.0635 (multiplicity 8)  6 N 2.23-2.48
Rh: 0.0000 0.1564 0.7500 (multiplicity 4)  4 N 2.19-2.29
N: 0.0000 0.0000 0.0000 (multiplicity 4)  4 Pa 2.42
N: 0.0000 0.2715 0.6007 (multiplicity 8)  1 Rh 2.19, 3 Pa 2.23-2.42
N: 0.0000 0.4724 0.2500 (multiplicity 4)  2 Rh 2.29, 2 Dy 2.33, 2 Pa 2.48

Properties
E_form (uncorrected): -1.275 eV/atom
Magnetization: 0.00 μB per atom
N(E_F): 0.2011 states/eV per atom



# 2
Material: DyPaS2N
Method: DFT, GGA-PBE
State: optimized geometry

Cell: 3.8281 3.8281 13.3950 Å, 90.00 90.00 90.00°
With the nearest neighbours (Å) after each atom.
Space group P4/nmm (No. 129, origin choice 2)
Symmetry-distinct sites (fractional):
Dy: 0.2500 0.2500 0.1034 (multiplicity 2)  6 S 2.71-2.82
Pa: 0.2500 0.2500 0.5927 (multiplicity 2)  4 N 2.28
S: 0.2500 0.2500 0.3092 (multiplicity 2)  1 Dy 2.76, 4 Pa 3.01
S: 0.2500 0.2500 0.8926 (multiplicity 2)  5 Dy 2.71-2.82
N: 0.2500 0.7500 0.5000 (multiplicity 2)  4 Pa 2.28

Properties
E_form (uncorrected): -1.943 eV/atom
Magnetization: 0.03 μB per atom
N(E_F): 0.6002 states/eV per atom